# 1
# Sr4LiB3N6

A geometry-optimized Sr4LiB3N6 structure (PBEsol, Alexandria).

Lattice parameters (Å, degrees): 6.401 6.401 6.401 109.47 109.47 109.47
Atoms (fractional coordinates):
Sr1 0.500 0.500 0.500
Sr2 0.000 0.500 0.000
Sr3 0.500 0.000 0.000
Sr4 0.000 0.000 0.500
Li1 0.000 0.000 0.000
B1 0.500 0.500 0.000
B2 0.000 0.500 0.500
B3 0.500 0.000 0.500
N1 0.000 0.682 0.682
N2 0.682 0.682 0.000
N3 0.000 0.318 0.318
N4 0.682 0.000 0.682
N5 0.318 0.000 0.318
N6 0.318 0.318 0.000

Summary:
energy relative to the elements, uncorrected: -1.1756 eV per atom
E: -98.0 eV for the cell shown
crystal system: cubic
calculated volume: 14.42 A^3/atom

=====

# 2
# NaLiB3

A geometry-optimized NaLiB3 structure (PBEsol, Alexandria).

Lattice parameters (Å, degrees): 4.433 4.433 4.433 90.00 90.00 90.00
Atoms (fractional coordinates):
Na1 0.000 0.000 0.000
B1 0.000 0.500 0.000
B2 0.000 0.000 0.500
B3 0.500 0.000 0.000
Li1 0.500 0.500 0.500

Summary:
formation energy: 252.2 kJ/mol of atoms
E: -11.3 eV for the cell shown
crystal system: cubic
calculated volume: 17.42 A^3/atom

=====

# 3
# NaLi2BP2O8

A geometry-optimized NaLi2BP2O8 structure (PBEsol, Alexandria).

Lattice parameters (Å, degrees): 5.432 7.386 7.995 76.76 70.83 87.38
Atoms (fractional coordinates):
Na1 0.747 0.118 0.742
Na2 0.253 0.882 0.258
Li1 0.691 0.499 0.857
Li2 0.309 0.501 0.143
Li3 0.145 0.531 0.596
Li4 0.855 0.469 0.404
B1 0.251 0.952 0.766
B2 0.749 0.048 0.234
P1 0.378 0.227 0.454
P2 0.622 0.773 0.546
P3 0.146 0.250 0.945
P4 0.854 0.750 0.055
O1 0.033 0.817 0.851
O2 0.967 0.183 0.149
O3 0.497 0.139 0.283
O4 0.503 0.861 0.717
O5 0.987 0.335 0.823
O6 0.013 0.665 0.177
O7 0.198 0.379 0.404
O8 0.802 0.621 0.596
O9 0.277 0.065 0.893
O10 0.723 0.935 0.107
O11 0.357 0.376 0.945
O12 0.643 0.624 0.055
O13 0.197 0.067 0.606
O14 0.803 0.933 0.394
O15 0.587 0.287 0.517
O16 0.413 0.713 0.483

Summary:
energy relative to the elements, uncorrected: -2.3707 eV per atom
E: -198.2 eV for the cell shown
crystal system: triclinic
calculated volume: 10.53 A^3/atom